No. 1
AgOsAu PBE-GGA relaxed; DFT formation energy = 766 meV/atom; ΔE to the lowest computed polymorph = 265 meV per atom; V = 16.588 Å³ per atom; space-group type = Imm2 (44)
1.0
-1.343 2.127 4.355
1.343 -2.127 4.355
1.343 2.127 -4.355
Ag Os Au
1 1 1
Direct
0.000 0.000 0.000
0.335 0.335 0.000
0.673 0.673 0.000


No. 2
BaZr2Co PBE-GGA relaxed; DFT formation energy = 442 meV/atom; ΔE to the lowest computed polymorph = 281 meV per atom; V = 24.861 Å³ per atom; space-group type = R3m (160)
1.0
1.726 0.997 9.631
-1.726 0.997 9.631
0.000 -1.994 9.631
Ba Zr Co
1 2 1
Direct
0.000 0.000 0.000
0.221 0.221 0.221
0.468 0.468 0.468
0.747 0.747 0.747


No. 3
TaBe3Si PBE-GGA relaxed; ΔE to the lowest computed polymorph = 0 meV per atom; formation energy from raw total energies = 0.967 eV per atom; V = 13.094 Å³ per atom; space-group type = Pm-3m (221)
1.0
4.030 0.000 0.000
0.000 4.030 0.000
0.000 0.000 4.030
Ta Be Si
1 3 1
Direct
0.000 0.000 0.000
0.000 0.500 0.500
0.500 0.000 0.500
0.500 0.500 0.000
0.500 0.500 0.500


No. 4
HfCu2As PBE-GGA relaxed; DFT formation energy = -133 meV/atom; V = 16.909 Å³ per atom; space-group type = I-42d (122)
1.0
-1.863 1.863 9.740
1.863 -1.863 9.740
1.863 1.863 -9.740
Hf Cu As
2 4 2
Direct
0.000 0.000 0.000
0.750 0.250 0.500
0.132 0.625 0.007
0.375 0.382 0.507
0.618 0.125 0.993
0.875 0.868 0.493
0.250 0.750 0.500
0.500 0.500 0.000


No. 5
K2MgCuCl PBE-GGA relaxed; formation energy from raw total energies = -0.180 eV per atom; V = 39.381 Å³ per atom; space-group type = P4/mmm (123)
1.0
5.959 0.000 0.000
0.000 5.959 0.000
0.000 0.000 5.544
K Mg Cu Cl
2 1 1 1
Direct
0.000 0.500 0.000
0.500 0.000 0.000
0.000 0.000 0.500
0.500 0.500 0.500
0.000 0.000 0.000


No. 6
TaSnPt2 PBE-GGA relaxed; DFT formation energy = 99 meV/atom; V = 25.889 Å³ per atom; space-group type = I-42d (122)
1.0
-3.059 3.059 5.532
3.059 -3.059 5.532
3.059 3.059 -5.532
Ta Sn Pt
2 2 4
Direct
0.000 0.000 0.000
0.750 0.250 0.500
0.250 0.750 0.500
0.500 0.500 0.000
0.109 0.625 0.984
0.375 0.359 0.484
0.641 0.125 0.016
0.875 0.891 0.516


No. 7
CuTcW3 PBE-GGA relaxed; DFT formation energy = 1938 meV/atom; ΔE to the lowest computed polymorph = 0 meV per atom; V = 17.665 Å³ per atom; space-group type = Pm-3m (221)
1.0
4.453 0.000 0.000
0.000 4.453 0.000
0.000 0.000 4.453
Cu Tc W
1 1 3
Direct
0.000 0.000 0.000
0.500 0.500 0.500
0.000 0.000 0.500
0.000 0.500 0.000
0.500 0.000 0.000


No. 8
Hf2CdPt9 PBE-GGA relaxed; DFT formation energy = -843 meV/atom; V = 16.414 Å³ per atom; space-group type = P4/mmm (123)
1.0
4.033 0.000 0.000
0.000 4.033 0.000
0.000 0.000 12.111
Hf Cd Pt
2 1 9
Direct
0.000 0.000 0.170
0.000 0.000 0.830
0.000 0.000 0.500
0.000 0.500 0.000
0.000 0.500 0.328
0.000 0.500 0.672
0.500 0.000 0.000
0.500 0.000 0.328
0.500 0.000 0.672
0.500 0.500 0.164
0.500 0.500 0.500
0.500 0.500 0.836